(1)
Material: Dy2Y6HoTm
Method: DFT, PBE
State: optimized geometry

Values from the calculation:
- DFT formation energy: 0.119 eV/atom

Lattice parameters (Å, degrees): 9.0555 14.9577 9.6220 90.00 98.82 90.00
Space group C2/c (No. 15)
Symmetry-distinct sites (fractional):
1 Dy 0.2458 0.0508 0.0451 (multiplicity 8)
2 Y 0.0623 0.1849 0.4440 (multiplicity 8)
3 Y 0.1026 0.3949 0.6190 (multiplicity 8)
4 Y 0.2050 0.2226 0.8154 (multiplicity 8)
5 Ho 0.0000 0.4077 0.2500 (multiplicity 4)
6 Tm 0.0000 0.0223 0.7500 (multiplicity 4)


(2)
Material: Dy2YHo3Tm6
Method: DFT, PBE
State: optimized geometry

Values from the calculation:
- DFT formation energy: 0.024 eV/atom

Lattice parameters (Å, degrees): 6.0893 10.5327 11.6361 90.00 100.02 90.00
Space group C2/m (No. 12)
Symmetry-distinct sites (fractional):
1 Dy 0.0000 0.1667 0.0000 (multiplicity 4)
2 Y 0.0000 0.5000 0.0000 (multiplicity 2)
3 Ho 0.0000 0.0000 0.5000 (multiplicity 2)
4 Ho 0.0000 0.3334 0.5000 (multiplicity 4)
5 Tm 0.2492 0.1670 0.7492 (multiplicity 8)
6 Tm 0.2498 0.0000 0.2509 (multiplicity 4)


(3)
Material: Dy2Y2HoTm2
Method: DFT, PBE
State: optimized geometry

Values from the calculation:
- DFT formation energy: 0.138 eV/atom

Lattice parameters (Å, degrees): 5.6287 5.6287 24.2876 90.00 90.00 120.00
Space group R-3m (No. 166, hexagonal axes)
Symmetry-distinct sites (fractional):
1 Dy 0.0000 0.0000 0.2141 (multiplicity 6)
2 Y 0.0000 0.0000 0.3585 (multiplicity 6)
3 Ho 0.0000 0.0000 0.5000 (multiplicity 3)
4 Tm 0.0000 0.0000 0.0710 (multiplicity 6)


(4)
Material: Dy3Y6Ho2Tm
Method: DFT, PBE
State: optimized geometry

Values from the calculation:
- DFT formation energy: 0.023 eV/atom

Lattice parameters (Å, degrees): 6.1495 10.6379 11.7681 90.00 99.98 90.00
Space group C2/m (No. 12)
Symmetry-distinct sites (fractional):
1 Dy 0.0000 0.0000 0.0000 (multiplicity 2)
2 Dy 0.0000 0.3334 0.0000 (multiplicity 4)
3 Y 0.2500 0.0000 0.7494 (multiplicity 4)
4 Y 0.2504 0.1666 0.2507 (multiplicity 8)
5 Ho 0.0000 0.1666 0.5000 (multiplicity 4)
6 Tm 0.0000 0.5000 0.5000 (multiplicity 2)


Please write out number 2 again, unchanged.
Material: Dy2YHo3Tm6
Method: DFT, PBE
State: optimized geometry

Values from the calculation:
- DFT formation energy: 0.024 eV/atom

Lattice parameters (Å, degrees): 6.0893 10.5327 11.6361 90.00 100.02 90.00
Space group C2/m (No. 12)
Symmetry-distinct sites (fractional):
1 Dy 0.0000 0.1667 0.0000 (multiplicity 4)
2 Y 0.0000 0.5000 0.0000 (multiplicity 2)
3 Ho 0.0000 0.0000 0.5000 (multiplicity 2)
4 Ho 0.0000 0.3334 0.5000 (multiplicity 4)
5 Tm 0.2492 0.1670 0.7492 (multiplicity 8)
6 Tm 0.2498 0.0000 0.2509 (multiplicity 4)


Question: Which value of DFT formation energy does entry 4 give?
Answer: 0.023 eV/atom


Question: What is the DFT formation energy in the fourth record?
Answer: 0.023 eV/atom